# DyHoTe2

A geometry-optimized DyHoTe2 structure (PBE, the Open Quantum Materials Database).

CIF file:
```
data_DyHoTe2
_chemical_formula_sum 'Dy1 Ho1 Te2'
_cell_length_a 4.2116
_cell_length_b 4.2116
_cell_length_c 7.6151
_cell_angle_alpha 90.00
_cell_angle_beta 90.00
_cell_angle_gamma 120.00
_space_group_name_H-M_alt 'P 1'
_space_group_IT_number 1
loop_
_space_group_symop_operation_xyz
'x,y,z'
loop_
_atom_site_label
_atom_site_type_symbol
_atom_site_fract_x
_atom_site_fract_y
_atom_site_fract_z
Dy1 Dy 0.0000 0.0000 0.5000
Ho1 Ho 0.0000 0.0000 0.0000
Te1 Te 0.3333 0.6667 0.2482
Te2 Te 0.6667 0.3333 0.7518
```

## Properties
* relative energy among the computed polymorphs: 0.0 meV per atom